No. 1
GGA-PBE Ca3LaAs3, relaxed; ΔH_f (0 K) = -1.29 eV per atom; crystal system = cubic; total magnetic moment = 0.00 μB/f.u.; space group = P2_13, No. 198
1.0
9.078 0.000 0.000
0.000 9.078 0.000
0.000 0.000 9.078
Ca La As
12 4 12
Direct
0.816 0.316 0.184
0.936 0.936 0.936
0.819 0.681 0.319
0.184 0.816 0.316
0.181 0.181 0.181
0.319 0.819 0.681
0.064 0.436 0.564
0.316 0.184 0.816
0.681 0.319 0.819
0.684 0.684 0.684
0.564 0.064 0.436
0.436 0.564 0.064
0.065 0.565 0.935
0.935 0.065 0.565
0.435 0.435 0.435
0.565 0.935 0.065
0.750 0.627 0.000
0.873 0.000 0.250
0.000 0.750 0.627
0.127 0.500 0.250
0.250 0.127 0.500
0.250 0.873 0.000
0.000 0.250 0.873
0.373 0.500 0.750
0.500 0.250 0.127
0.627 0.000 0.750
0.750 0.373 0.500
0.500 0.750 0.373

=====

No. 2
GGA-PBE PaSnHg, relaxed; excess energy over the best structure of this formula in the dataset = 0.0 meV/atom; ΔH_f (0 K) = -0.03 eV per atom; crystal system = hexagonal; total magnetic moment = 0.87 μB/f.u.; space group = P-6m2, No. 187
1.0
3.102 0.000 0.000
0.000 5.230 0.000
0.000 -2.615 4.529
Pa Hg Sn
1 1 1
Direct
0.667 0.333 0.667
0.168 0.667 0.333
0.165 0.000 0.000